The following is a DFT calculation (GGA-PBE) of an optimized crystal structure of Tb3PmHo6Er2.

Calculated values
Fermi-level density of states: 1.2845 states/eV/atom

The structure in CIF format:
```
data_Tb3PmHo6Er2
_chemical_formula_sum 'Tb6 Pm2 Ho12 Er4'
_cell_length_a 6.132
_cell_length_b 10.610
_cell_length_c 11.729
_cell_angle_alpha 90.00
_cell_angle_beta 99.98
_cell_angle_gamma 90.00
_symmetry_space_group_name_H-M 'C 1 2/m 1'
_symmetry_Int_Tables_number 12
_symmetry_space_group_name_Hall '-C 2y'
loop_
_atom_site_label
_atom_site_fract_x
_atom_site_fract_y
_atom_site_fract_z
Tb1 0.000 0.000 0.000
Tb2 0.000 0.333 0.000
Pm1 0.000 0.500 0.500
Ho1 0.249 0.000 0.750
Ho2 0.249 0.167 0.250
Er1 0.000 0.167 0.500
```


The following is a DFT calculation (GGA-PBE) of an optimized crystal structure of TbPmHoEr3.

Calculated values
Fermi-level density of states: 1.3407 states/eV/atom

The structure in CIF format:
```
data_TbPmHoEr3
_chemical_formula_sum 'Tb4 Pm4 Ho4 Er12'
_cell_length_a 5.006
_cell_length_b 15.028
_cell_length_c 10.017
_cell_angle_alpha 90.00
_cell_angle_beta 90.00
_cell_angle_gamma 90.00
_symmetry_space_group_name_H-M 'C m c m'
_symmetry_Int_Tables_number 63
_symmetry_space_group_name_Hall '-C 2c 2'
loop_
_atom_site_label
_atom_site_fract_x
_atom_site_fract_y
_atom_site_fract_z
Tb1 0.000 0.168 0.250
Pm1 0.000 0.500 0.250
Ho1 0.000 0.000 0.000
Er1 0.000 0.168 0.750
Er2 0.000 0.333 0.000
```


The following is a DFT calculation (GGA-PBE) of an optimized crystal structure of Tb6Pm2HoEr3.

Calculated values
Fermi-level density of states: 1.2884 states/eV/atom

The structure in CIF format:
```
data_Tb6Pm2HoEr3
_chemical_formula_sum 'Tb12 Pm4 Ho2 Er6'
_cell_length_a 6.164
_cell_length_b 10.669
_cell_length_c 11.793
_cell_angle_alpha 90.00
_cell_angle_beta 99.98
_cell_angle_gamma 90.00
_symmetry_space_group_name_H-M 'C 1 2/m 1'
_symmetry_Int_Tables_number 12
_symmetry_space_group_name_Hall '-C 2y'
loop_
_atom_site_label
_atom_site_fract_x
_atom_site_fract_y
_atom_site_fract_z
Tb1 0.248 0.000 0.247
Tb2 0.249 0.334 0.247
Pm1 0.000 0.333 0.500
Ho1 0.000 0.000 0.500
Er1 0.000 0.166 0.000
Er2 0.000 0.500 0.000
```


no.,calculated total energy (hartree per atom),M_tot (μB/f.u.),formation energy from the elements (eV/f.u.)
1,-0.1685,0.0,0.21
2,-0.1686,0.0,0.12
3,-0.1695,0.0,0.20